1.
VASP calculation (PBE-GGA) on a geometry-optimized PmAsPO structure.

Geometry as POSCAR:
```
PmAsPO
1.0
-3.621 -0.120 -4.038
-4.033 -0.211 3.623
-0.216 4.944 0.047
As O P Pm
2 2 2 2
direct
0.750 0.750 0.005
0.250 0.250 0.995
0.750 0.250 0.000
0.250 0.750 0.000
0.750 0.750 0.466
0.250 0.250 0.534
0.750 0.250 0.500
0.250 0.750 0.500
```

Computed properties:
Its space-group type is P4/nmm. The excess energy over the best structure of this formula in the dataset is 0.606 eV/atom.

***

2.
VASP calculation (PBE-GGA) on a geometry-optimized PmAsPO structure.

Geometry as POSCAR:
```
PmAsPO
1.0
-3.895 -1.224 -1.337
-1.290 -2.035 5.620
-2.278 5.603 1.506
As O P Pm
2 2 2 2
direct
0.000 0.858 0.055
0.000 0.142 0.555
0.000 0.708 0.317
0.000 0.292 0.817
0.500 0.267 0.425
0.500 0.733 0.925
0.500 0.748 0.457
0.500 0.252 0.957
```

Computed properties:
Its space-group type is Pmc2_1. The excess energy over the best structure of this formula in the dataset is 0.184 eV/atom.

***

3.
VASP calculation (PBE-GGA) on a geometry-optimized AsPPtO structure.

Geometry as POSCAR:
```
AsPPtO
1.0
-2.147 2.642 0.085
-4.873 -3.888 -2.226
-1.411 -1.319 5.392
As O P Pt
2 2 2 2
direct
0.500 0.283 0.051
0.500 0.717 0.551
0.500 0.458 0.495
0.500 0.542 0.995
0.000 0.874 0.301
0.000 0.126 0.801
0.000 0.199 0.408
0.000 0.801 0.908
```

Computed properties:
Its space-group type is Pmc2_1. The excess energy over the best structure of this formula in the dataset is 0.000 eV/atom.